Compound: InGaCF2
Source: the Alexandria database
Functional: GGA-PBEsol
Structure: relaxed

abc: 3.9646 3.9646 4.5842
angles: 90.00 90.00 90.00
Last column: nearest neighbours and their distance in Å.
Fractional positions:
In  0.0000  0.0000  0.0000  2 C 2.29
Ga  0.5000  0.5000  0.0000  4 In 2.80, 8 F 3.03
C  0.0000  0.0000  0.5000  4 F 1.98
F  0.0000  0.5000  0.5000  2 C 1.98
F  0.5000  0.0000  0.5000  2 C 1.98

Values from the calculation:
space-group type = P4/mmm
crystal system = tetragonal
D(E_F) = 1.39 states/eV/f.u.
raw formation energy = 0.1495 eV/atom

---

Compound: In2IrBr
Source: the Alexandria database
Functional: GGA-PBEsol
Structure: relaxed

abc: 4.8718 4.8718 4.8718
angles: 60.00 60.00 60.00
Last column: nearest neighbours and their distance in Å.
Fractional positions:
In  0.0000  0.0000  0.0000  4 In 2.98, 4 Br 2.98
In  0.2500  0.2500  0.2500  4 In 2.98, 4 Ir 2.98
Ir  0.5000  0.5000  0.5000  4 In 2.98, 4 Br 2.98
Br  0.7500  0.7500  0.7500  4 In 2.98, 4 Ir 2.98

Values from the calculation:
relative energy among the computed polymorphs = 107 meV per atom
space-group type = F-43m
crystal system = cubic
D(E_F) = 1.43 states/eV/f.u.
raw formation energy = 0.5138 eV/atom

---

Compound: Ti2CrGe2
Source: the Alexandria database
Functional: GGA-PBEsol
Structure: relaxed

abc: 6.3869 6.3869 3.5656
angles: 90.00 90.00 90.00
Last column: nearest neighbours and their distance in Å.
Fractional positions:
Ti  0.1687  0.3313  0.0000  6 Ge 2.50-2.65
Ti  0.3313  0.8313  0.0000  6 Ge 2.50-2.65
Ti  0.6687  0.1687  0.0000  6 Ge 2.50-2.65
Ti  0.8313  0.6687  0.0000  6 Ge 2.50-2.65
Cr  0.0000  0.0000  0.5000  4 Ge 2.48
Cr  0.5000  0.5000  0.5000  4 Ge 2.48
Ge  0.1375  0.6375  0.5000  2 Cr 2.48, 1 Ge 2.48, 6 Ti 2.50-2.65
Ge  0.3625  0.1375  0.5000  2 Cr 2.48, 1 Ge 2.48, 6 Ti 2.50-2.65
Ge  0.6375  0.8625  0.5000  2 Cr 2.48, 1 Ge 2.48, 6 Ti 2.50-2.65
Ge  0.8625  0.3625  0.5000  2 Cr 2.48, 1 Ge 2.48, 6 Ti 2.50-2.65

Values from the calculation:
space-group type = P4/mbm
E_form = -2.51 eV per formula unit
crystal system = tetragonal
D(E_F) = 2.23 states/eV/f.u.

---

Compound: SrCa3
Source: the Alexandria database
Functional: GGA-PBEsol
Structure: relaxed

abc: 3.9289 6.4774 6.8032
angles: 90.00 90.00 90.00
Last column: nearest neighbours and their distance in Å.
Fractional positions:
Sr  0.0000  0.0000  0.0000  10 Ca 3.92-3.97, 2 Sr 3.93
Ca  0.0000  0.5000  0.6629  10 Ca 3.88-3.98, 2 Sr 3.97
Ca  0.5000  0.0000  0.4994  4 Sr 3.92-3.93, 8 Ca 3.93-3.95
Ca  0.5000  0.5000  0.1714  8 Ca 3.88-3.98, 4 Sr 3.96

Values from the calculation:
relative energy among the computed polymorphs = 5 meV per atom
space-group type = Pmm2
E_form = 0.06 eV per formula unit
crystal system = orthorhombic
D(E_F) = 3.87 states/eV/f.u.

---

Compound: LiVRh2
Source: the Alexandria database
Functional: GGA-PBEsol
Structure: relaxed

abc: 4.1250 4.1250 4.1250
angles: 60.00 60.00 60.00
Last column: nearest neighbours and their distance in Å.
Fractional positions:
Li  0.0000  0.0000  0.0000  8 Rh 2.53
V  0.5000  0.5000  0.5000  8 Rh 2.53
Rh  0.2500  0.2500  0.2500  4 Li 2.53, 4 V 2.53
Rh  0.7500  0.7500  0.7500  4 Li 2.53, 4 V 2.53

Values from the calculation:
space-group type = Fm-3m
E_form = -1.56 eV per formula unit
crystal system = cubic
D(E_F) = 0.60 states/eV/f.u.

---

Compound: Li2CdAg
Source: the Alexandria database
Functional: GGA-PBEsol
Structure: relaxed

abc: 3.3038 3.3038 6.2302
angles: 90.00 90.00 90.00
Last column: nearest neighbours and their distance in Å.
Fractional positions:
Li  0.0000  0.0000  0.0000  4 Cd 2.81, 4 Li 2.85, 1 Ag 2.99
Li  0.5000  0.5000  0.2614  4 Ag 2.71, 4 Li 2.85
Cd  0.5000  0.5000  0.7496  5 Li 2.81-3.04, 4 Ag 2.88
Ag  0.0000  0.0000  0.4804  5 Li 2.71-2.99, 4 Cd 2.88

Values from the calculation:
space-group type = P4mm
E_form = -0.67 eV per formula unit
crystal system = tetragonal
D(E_F) = 1.33 states/eV/f.u.

---

Compound: Ba3NaSrSb3O12
Source: the Alexandria database
Functional: GGA-PBEsol
Structure: relaxed

abc: 8.2583 8.2583 8.2546
angles: 90.00 90.00 90.35
Last column: nearest neighbours and their distance in Å.
Fractional positions:
Ba  0.0000  0.0000  0.0000  12 O 2.91-2.93
Ba  0.0000  0.5000  0.0000  12 O 2.92-2.96
Ba  0.0000  0.5000  0.5000  12 O 2.90-2.93
Ba  0.5000  0.0000  0.0000  12 O 2.92-2.96
Ba  0.5000  0.0000  0.5000  12 O 2.90-2.93
Ba  0.5000  0.5000  0.0000  12 O 2.91-2.93
Na  0.2500  0.7500  0.7505  6 O 2.21-2.24
Na  0.7500  0.2500  0.2495  6 O 2.21-2.24
Sr  0.0000  0.0000  0.5000  12 O 2.88-2.93
Sr  0.5000  0.5000  0.5000  12 O 2.88-2.93
Sb  0.2500  0.2500  0.2520  6 O 1.90-2.08
Sb  0.2500  0.2500  0.7480  6 O 1.90-2.08
Sb  0.2500  0.7500  0.2530  6 O 1.90-2.06
Sb  0.7500  0.2500  0.7470  6 O 1.90-2.06
Sb  0.7500  0.7500  0.2520  6 O 1.90-2.08
Sb  0.7500  0.7500  0.7480  6 O 1.90-2.08
O  0.0000  0.2482  0.7456  2 Sb 2.06
O  0.0000  0.7518  0.2544  2 Sb 2.06
O  0.0197  0.2467  0.2529  1 Sb 1.90
O  0.2467  0.0197  0.7471  1 Sb 1.90
O  0.2482  0.0000  0.2544  2 Sb 2.06
O  0.2500  0.2500  0.0000  2 Sb 2.08
O  0.2500  0.2500  0.5000  2 Sb 2.05
O  0.2500  0.7500  0.0221  1 Sb 1.91
O  0.2500  0.7500  0.4829  1 Sb 1.90
O  0.2518  0.5000  0.2544  2 Sb 2.06
O  0.2533  0.4803  0.7471  1 Sb 1.90
O  0.4803  0.2533  0.2529  1 Sb 1.90
O  0.5000  0.2518  0.7456  2 Sb 2.06
O  0.5000  0.7482  0.2544  2 Sb 2.06
O  0.5197  0.7467  0.7471  1 Sb 1.90
O  0.7467  0.5197  0.2529  1 Sb 1.90
O  0.7482  0.5000  0.7456  2 Sb 2.06
O  0.7500  0.2500  0.5171  1 Sb 1.90
O  0.7500  0.2500  0.9779  1 Sb 1.91
O  0.7500  0.7500  0.0000  2 Sb 2.08
O  0.7500  0.7500  0.5000  2 Sb 2.05
O  0.7518  0.0000  0.7456  2 Sb 2.06
O  0.7533  0.9803  0.2529  1 Sb 1.90
O  0.9803  0.7533  0.7471  1 Sb 1.90

Values from the calculation:
space-group type = Cmme
crystal system = orthorhombic
D(E_F) = 0.00 states/eV/f.u.
raw formation energy = -2.1674 eV/atom

---

Compound: CsB2P
Source: the Alexandria database
Functional: GGA-PBEsol
Structure: relaxed

abc: 6.8717 6.8717 6.8717
angles: 138.41 138.41 60.28
Last column: nearest neighbours and their distance in Å.
Fractional positions:
Cs  0.3750  0.6250  0.7500  8 B 3.11, 4 P 3.45
Cs  0.6250  0.3750  0.2500  8 B 3.11, 4 P 3.45
B  0.0000  0.0000  0.0000  2 P 1.92
B  0.0000  0.0000  0.5000  2 P 1.92
B  0.0000  0.5000  0.0000  2 P 1.92
B  0.5000  0.0000  0.5000  2 P 1.92
P  0.1250  0.8750  0.2500  4 B 1.92
P  0.8750  0.1250  0.7500  4 B 1.92

Values from the calculation:
space-group type = I4_1/amd
E_form = 3.22 eV per formula unit
crystal system = tetragonal
D(E_F) = 2.02 states/eV/f.u.

---

Compound: ScCS2
Source: the Alexandria database
Functional: GGA-PBEsol
Structure: relaxed

abc: 6.2572 6.2572 6.2572
angles: 131.36 131.36 71.24
Last column: nearest neighbours and their distance in Å.
Fractional positions:
Sc  0.0000  0.0000  0.0000  4 S 2.50
Sc  0.7500  0.2500  0.5000  4 S 2.50
C  0.2500  0.7500  0.5000  4 S 2.00
C  0.5000  0.5000  0.0000  4 S 2.00
S  0.2096  0.6250  0.0846  2 C 2.00
S  0.3750  0.4596  0.5846  2 C 2.00
S  0.5404  0.1250  0.9154  2 C 2.00
S  0.8750  0.7904  0.4154  2 C 2.00

Values from the calculation:
space-group type = I-42d
crystal system = tetragonal
D(E_F) = 3.27 states/eV/f.u.
raw formation energy = 0.2536 eV/atom

---

Compound: ZnInSn2
Source: the Alexandria database
Functional: GGA-PBEsol
Structure: relaxed

abc: 5.0996 5.0996 5.0996
angles: 60.00 60.00 60.00
Last column: nearest neighbours and their distance in Å.
Fractional positions:
Zn  0.0000  0.0000  0.0000  8 Sn 3.12
In  0.5000  0.5000  0.5000  8 Sn 3.12
Sn  0.2500  0.2500  0.2500  4 In 3.12, 4 Zn 3.12
Sn  0.7500  0.7500  0.7500  4 Zn 3.12, 4 In 3.12

Values from the calculation:
space-group type = Fm-3m
E_form = 0.49 eV per formula unit
crystal system = cubic
D(E_F) = 2.22 states/eV/f.u.

---

Q: Which formula does entry 6 have?
A: Li2CdAg

---

Q: Among the records above, which one has the highest D(E_F)?
A: SrCa3

---

Q: Which of these has the highest D(E_F)?
A: SrCa3

---

Q: Among the records above, which one has the lowest D(E_F)?
A: Ba3NaSrSb3O12